Material: Sm8Dy6Pu
Method: DFT, GGA-PBE
State: optimized geometry

Unit cell a=5.852 b=9.867 c=9.867 alpha=120.00 beta=90.00 gamma=90.00
Element x y z (fractional)
1 Sm 0.759 0.734 0.785
2 Sm 0.240 0.786 0.051
3 Sm 0.240 0.949 0.735
4 Sm 0.759 0.051 0.266
5 Sm 0.240 0.265 0.214
6 Sm 0.765 0.333 0.667
7 Sm 0.759 0.215 0.949
8 Sm 0.235 0.667 0.333
9 Dy 0.252 0.381 0.906
10 Dy 0.748 0.619 0.094
11 Dy 0.748 0.475 0.381
12 Dy 0.252 0.094 0.475
13 Dy 0.252 0.525 0.619
14 Dy 0.748 0.906 0.525
15 Pu 0.501 0.000 0.000

Properties
Symmetry   P3, No. 143

Material: Sm4Dy8Pu
Method: DFT, GGA-PBE
State: optimized geometry

Unit cell a=7.756 b=7.756 c=7.756 alpha=90.18 beta=90.18 gamma=90.18
Element x y z (fractional)
1 Dy 0.245 0.757 0.757
2 Dy 0.243 0.243 0.755
3 Dy 0.244 0.244 0.244
4 Dy 0.755 0.243 0.243
5 Dy 0.243 0.755 0.243
6 Dy 0.757 0.757 0.245
7 Dy 0.757 0.245 0.757
8 Dy 0.756 0.756 0.756
9 Pu 0.500 0.500 0.500
10 Sm 0.500 0.000 0.500
11 Sm 0.500 0.500 0.000
12 Sm 0.000 0.000 0.000
13 Sm 0.000 0.500 0.500

Properties
Symmetry   R-3m, No. 166

Formation energy from the elements for every record listed, in sequence, given in kJ/mol of formula units: 188.2 664.4.
Total magnetic moment for every record listed, in sequence, given in μB/f.u.: 4.37 6.80.